Entry 1:
Material: YZr2Ti
Method: DFT, PBE
State: optimized geometry

POSCAR file:
```
YZr2Ti
1.0
3.230 0.000 0.000
1.615 2.798 0.000
1.615 0.933 10.433
Zr Ti Y
2 1 1
direct
0.258 0.258 0.227
0.076 0.076 0.772
0.667 0.667 0.000
0.500 0.500 0.501
```

E above lowest polymorph, eV per atom: 0.036
Size of the total moment, μB per formula unit: 0.000
Space-group type: No. 160
E_form, eV/atom: 0.1643

=====

Entry 2:
Material: Tl5In2Pb4
Method: DFT, PBE
State: optimized geometry

POSCAR file:
```
Tl5In2Pb4
1.0
-2.951 -1.258 1.556
-1.378 -6.414 -4.115
5.939 -7.368 8.188
Pb Tl In
4 5 2
direct
0.647 0.690 0.541
0.736 0.131 0.906
0.353 0.310 0.459
0.264 0.869 0.094
0.810 0.595 0.275
0.000 0.500 0.000
0.461 0.773 0.813
0.190 0.405 0.725
0.539 0.227 0.187
0.081 0.957 0.366
0.919 0.043 0.634
```

Size of the total moment, μB per formula unit: 0.000
Space-group type: No. 2
E_form, eV/atom: 0.0077

=====

Entry 3:
Material: SrSc2Fe
Method: DFT, PBE
State: optimized geometry

POSCAR file:
```
SrSc2Fe
1.0
-3.000 4.929 1.670
-3.532 -1.037 4.747
5.613 0.213 -2.129
Sc Fe Sr
2 1 1
direct
0.070 0.070 0.000
0.430 0.430 0.000
0.250 0.750 0.500
0.750 0.250 0.500
```

E above lowest polymorph, eV per atom: 0.162
Size of the total moment, μB per formula unit: 0.000
Space-group type: No. 71
E_form, eV/atom: 0.2588

=====

Entry 4:
Material: Ca2Ta
Method: DFT, PBE
State: optimized geometry

POSCAR file:
```
Ca2Ta
1.0
15.071 -0.016 0.000
13.533 6.633 0.000
-14.302 -3.308 3.412
Ca Ta
8 4
direct
0.664 0.164 0.500
0.586 0.586 0.000
0.752 0.752 0.000
0.248 0.248 0.000
0.498 0.998 0.500
0.414 0.414 0.000
0.002 0.502 0.500
0.836 0.336 0.500
0.153 0.653 0.500
0.097 0.097 0.000
0.903 0.903 0.000
0.347 0.847 0.500
```

E above lowest polymorph, eV per atom: 0.230
Size of the total moment, μB per formula unit: 0.000
Space-group type: No. 141
E_form, eV/atom: 0.6895